The following is a DFT calculation (PBE-GGA) of a relaxed structure of Ba2UTl3S6.

Cell lengths 7.681, 7.681, 7.712 Å; angles 99.34, 99.34, 119.98 degrees
Positions (direct):
S (0.070, 0.350, 0.205)
S (0.930, 0.650, 0.795)
S (0.787, 0.787, 0.217)
S (0.350, 0.070, 0.205)
S (0.650, 0.930, 0.795)
S (0.213, 0.213, 0.783)
Tl (0.500, 0.500, 0.500)
Tl (0.158, 0.842, 0.500)
Tl (0.842, 0.158, 0.500)
Ba (0.667, 0.333, 0.000)
Ba (0.333, 0.667, 0.000)
U (0.000, 0.000, 0.000)

- Space-group type: C2/m
- N(E_F): 0.31 states/eV/cell
- Energy relative to the elements, uncorrected: -1.266 eV per atom
- E_tot: -5.1828 eV/atom